Entry 1:
LaTiCo3 after structural relaxation, computed with PBEsol.

Computed properties:
Final energy = -7.026 eV per atom
ΔH_f (0 K) = 350 meV per atom

Unit cell a=4.362 b=4.362 c=4.362 alpha=90.00 beta=90.00 gamma=90.00
Space group Pm-3m (No. 221)
One atom of each set of equivalent atoms:
La: 0.000 0.000 0.000 x1
Ti: 0.500 0.500 0.500 x1
Co: 0.000 0.500 0.500 x3



Entry 2:
NiGeF2 after structural relaxation, computed with PBEsol.

Computed properties:
ΔE_f (raw) = -0.590 eV/atom
Final energy = -4.328 eV per atom

Unit cell a=5.689 b=5.689 c=5.689 alpha=90.00 beta=90.00 gamma=90.00
Space group Fm-3m (No. 225)
One atom of each set of equivalent atoms:
Ni: 0.000 0.000 0.000 x4
Ge: 0.000 0.000 0.500 x4
F: 0.250 0.250 0.250 x8